Entry from Alexandria via LeMat-Bulk: a relaxed TaTcTe2 crystal (GGA-PBEsol).

Computed properties:
Energy relative to the elements, uncorrected: 212 kJ/mol of formula units

Cell lengths 4.5344, 4.5344, 16.9905 Å; angles 90.00, 90.00, 90.00 degrees
Last column: nearest neighbours and their distance in Å.
Space group I-42d (No. 122)
Inequivalent atoms, fractional coordinates:
Ta 0.0000 0.0000 0.0000 (multiplicity 4)  4 Te 2.69
Tc 0.0000 0.0000 0.5000 (multiplicity 4)  4 Te 2.63
Te 0.2362 0.2500 0.6250 (multiplicity 8)  2 Tc 2.63, 2 Ta 2.69

---

Entry from Alexandria via LeMat-Bulk: a relaxed Ta2TcTe crystal (GGA-PBEsol).

Computed properties:
Energy relative to the elements, uncorrected: 59 kJ/mol of formula units

Cell lengths 3.1046, 4.1970, 5.3803 Å; angles 90.00, 94.36, 90.00 degrees
Last column: nearest neighbours and their distance in Å.
Space group P2/m (No. 10)
Inequivalent atoms, fractional coordinates:
Ta 0.0496 0.0000 0.2626 (multiplicity 2)  2 Ta 2.60-2.82, 2 Tc 2.78
Tc 0.5000 0.5000 0.5000 (multiplicity 1)  2 Te 2.69, 4 Ta 2.78
Te 0.5000 0.5000 0.0000 (multiplicity 1)  2 Tc 2.69, 8 Ta 2.94-2.99

---

Entry from Alexandria via LeMat-Bulk: a relaxed Ta2TiTc crystal (GGA-PBEsol).

Computed properties:
Formation energy from the elements: -0.20 eV per atom

Cell lengths 6.3528, 6.3528, 6.3528 Å; angles 90.00, 90.00, 90.00 degrees
Last column: nearest neighbours and their distance in Å.
Space group Fm-3m (No. 225)
Inequivalent atoms, fractional coordinates:
Ta 0.2500 0.2500 0.2500 (multiplicity 8)  4 Tc 2.75, 4 Ti 2.75
Ti 0.0000 0.0000 0.0000 (multiplicity 4)  8 Ta 2.75
Tc 0.0000 0.0000 0.5000 (multiplicity 4)  8 Ta 2.75

---

Entry from Alexandria via LeMat-Bulk: a relaxed TaTlTc2 crystal (GGA-PBEsol).

Computed properties:
Formation energy from the elements: 0.62 eV per atom

Cell lengths 6.4279, 6.4279, 6.4279 Å; angles 90.00, 90.00, 90.00 degrees
Last column: nearest neighbours and their distance in Å.
Space group F-43m (No. 216)
Inequivalent atoms, fractional coordinates:
Ta 0.0000 0.0000 0.0000 (multiplicity 4)  4 Tl 2.78, 4 Tc 2.78
Tl 0.2500 0.2500 0.7500 (multiplicity 4)  4 Ta 2.78, 4 Tc 2.78
Tc 0.0000 0.0000 0.5000 (multiplicity 4)  4 Tl 2.78, 4 Tc 2.78
Tc 0.2500 0.2500 0.2500 (multiplicity 4)  4 Ta 2.78, 4 Tc 2.78

---

Entry from Alexandria via LeMat-Bulk: a relaxed TaTlTc3 crystal (GGA-PBEsol).

Computed properties:
Formation energy from the elements: 2.76 eV per atom

Cell lengths 4.7363, 4.7363, 4.7363 Å; angles 90.00, 90.00, 90.00 degrees
Last column: nearest neighbours and their distance in Å.
Space group Pm-3m (No. 221)
Inequivalent atoms, fractional coordinates:
Ta 0.0000 0.0000 0.0000 (multiplicity 1)  12 Tc 3.35
Tl 0.5000 0.5000 0.5000 (multiplicity 1)  6 Tc 2.37
Tc 0.0000 0.5000 0.5000 (multiplicity 3)  2 Tl 2.37

---

Entry from Alexandria via LeMat-Bulk: a relaxed TaTlTc2 crystal (GGA-PBEsol).

Computed properties:
Formation energy from the elements: 0.36 eV per atom

Cell lengths 9.1210, 3.0527, 4.9916 Å; angles 90.00, 104.66, 90.00 degrees
Last column: nearest neighbours and their distance in Å.
Space group C2/m (No. 12)
Inequivalent atoms, fractional coordinates:
Ta 0.0000 0.0000 0.0000 (multiplicity 2)  6 Tc 2.64-2.90, 4 Tl 2.93
Tl 0.0000 0.5000 0.5000 (multiplicity 2)  6 Tc 2.84-2.90, 4 Ta 2.93, 2 Tl 3.05
Tc 0.2352 0.5000 0.2210 (multiplicity 4)  3 Ta 2.64-2.90, 2 Tc 2.75, 3 Tl 2.84-2.90

---

Entry from Alexandria via LeMat-Bulk: a relaxed TaTl2Tc crystal (GGA-PBEsol).

Computed properties:
Formation energy from the elements: 0.70 eV per atom

Cell lengths 4.1675, 4.1675, 8.5563 Å; angles 90.00, 90.00, 90.00 degrees
Last column: nearest neighbours and their distance in Å.
Space group I-4m2 (No. 119)
Inequivalent atoms, fractional coordinates:
Ta 0.0000 0.0000 0.0000 (multiplicity 2)  8 Tl 2.95-2.99, 4 Tc 2.99
Tl 0.0000 0.0000 0.5000 (multiplicity 2)  4 Ta 2.95, 4 Tl 2.99, 4 Tc 2.99
Tl 0.0000 0.5000 0.7500 (multiplicity 2)  4 Tc 2.95, 4 Tl 2.99, 4 Ta 2.99
Tc 0.0000 0.5000 0.2500 (multiplicity 2)  8 Tl 2.95-2.99, 4 Ta 2.99

---

Entry from Alexandria via LeMat-Bulk: a relaxed TaTl2Tc crystal (GGA-PBEsol).

Computed properties:
Formation energy from the elements: 0.64 eV per atom

Cell lengths 3.2017, 4.9640, 9.5238 Å; angles 90.00, 90.00, 90.00 degrees
Last column: nearest neighbours and their distance in Å.
Space group Immm (No. 71)
Inequivalent atoms, fractional coordinates:
Ta 0.0000 0.0000 0.0000 (multiplicity 2)  4 Tl 2.95, 4 Tc 2.95, 2 Ta 3.20
Tl 0.0000 0.5000 0.2400 (multiplicity 4)  2 Tc 2.79, 2 Ta 2.95, 4 Tl 2.96
Tc 0.0000 0.0000 0.5000 (multiplicity 2)  4 Tl 2.79, 4 Ta 2.95

---

Entry from Alexandria via LeMat-Bulk: a relaxed TaTc2W crystal (GGA-PBEsol).

Computed properties:
Formation energy from the elements: 0.05 eV per atom

Cell lengths 3.1322, 4.4668, 8.7564 Å; angles 90.00, 90.00, 90.00 degrees
Last column: nearest neighbours and their distance in Å.
Space group Cmm2 (No. 35)
Inequivalent atoms, fractional coordinates:
Ta 0.0000 0.0000 0.0000 (multiplicity 2)  2 Tc 2.70, 4 Ta 2.73, 2 W 2.78
Tc 0.0000 0.0000 0.4927 (multiplicity 2)  6 Tc 2.64-2.73, 2 W 2.65
Tc 0.0000 0.5000 0.2506 (multiplicity 2)  6 Tc 2.64-2.73, 2 Ta 2.70
W 0.0000 0.5000 0.7371 (multiplicity 2)  2 Tc 2.65, 4 W 2.73, 2 Ta 2.78

---

Entry from Alexandria via LeMat-Bulk: a relaxed TaTc2W crystal (GGA-PBEsol).

Computed properties:
Formation energy from the elements: -0.20 eV per atom

Cell lengths 3.1202, 3.1202, 6.2625 Å; angles 90.00, 90.00, 90.00 degrees
Last column: nearest neighbours and their distance in Å.
Space group P4/mmm (No. 123)
Inequivalent atoms, fractional coordinates:
Ta 0.0000 0.0000 0.0000 (multiplicity 1)  8 Tc 2.71
Tc 0.5000 0.5000 0.2520 (multiplicity 2)  4 W 2.70, 4 Ta 2.71
W 0.0000 0.0000 0.5000 (multiplicity 1)  8 Tc 2.70

---

Entry from Alexandria via LeMat-Bulk: a relaxed Y2TaTc crystal (GGA-PBEsol).

Computed properties:
Formation energy from the elements: 0.54 eV per atom

Cell lengths 4.9511, 4.9511, 3.3915 Å; angles 90.00, 90.00, 90.00 degrees
Last column: nearest neighbours and their distance in Å.
Space group P4/mmm (No. 123)
Inequivalent atoms, fractional coordinates:
Y 0.0000 0.5000 0.0000 (multiplicity 2)  4 Ta 3.00, 4 Tc 3.00
Ta 0.0000 0.0000 0.5000 (multiplicity 1)  8 Y 3.00
Tc 0.5000 0.5000 0.5000 (multiplicity 1)  8 Y 3.00

---

Entry from Alexandria via LeMat-Bulk: a relaxed YTaTc crystal (GGA-PBEsol).

Computed properties:
Formation energy from the elements: 0.20 eV per atom

Cell lengths 3.2960, 5.0259, 13.8702 Å; angles 90.00, 90.00, 90.00 degrees
Last column: nearest neighbours and their distance in Å.
Space group Fmm2 (No. 42)
Inequivalent atoms, fractional coordinates:
Y 0.0000 0.0000 0.0000 (multiplicity 4)  2 Tc 2.85, 4 Y 3.01, 2 Ta 3.19
Ta 0.0000 0.0000 0.3035 (multiplicity 4)  2 Tc 2.51
Tc 0.0000 0.0000 0.6674 (multiplicity 4)  2 Ta 2.51

---

Entry from Alexandria via LeMat-Bulk: a relaxed Y2TaTc crystal (GGA-PBEsol).

Computed properties:
Formation energy from the elements: 0.46 eV per atom

Cell lengths 4.0472, 4.0472, 9.9414 Å; angles 90.00, 90.00, 90.00 degrees
Last column: nearest neighbours and their distance in Å.
Space group I4/mmm (No. 139)
Inequivalent atoms, fractional coordinates:
Y 0.0000 0.5000 0.2500 (multiplicity 4)  4 Y 2.86, 4 Ta 3.20, 4 Tc 3.20
Ta 0.0000 0.0000 0.0000 (multiplicity 2)  4 Tc 2.86, 8 Y 3.20
Tc 0.0000 0.0000 0.5000 (multiplicity 2)  4 Ta 2.86, 8 Y 3.20

---

Entry from Alexandria via LeMat-Bulk: a relaxed TaZn2Tc crystal (GGA-PBEsol).

Computed properties:
Formation energy from the elements: 0.04 eV per atom

Cell lengths 3.1809, 4.4099, 8.5349 Å; angles 90.00, 90.00, 90.00 degrees
Last column: nearest neighbours and their distance in Å.
Space group Cmm2 (No. 35)
Inequivalent atoms, fractional coordinates:
Ta 0.0000 0.0000 0.0000 (multiplicity 2)  2 Tc 2.67, 4 Ta 2.72, 2 Zn 2.74
Zn 0.0000 0.0000 0.5040 (multiplicity 2)  6 Zn 2.61-2.72, 2 Tc 2.62
Zn 0.0000 0.5000 0.2616 (multiplicity 2)  6 Zn 2.61-2.72, 2 Ta 2.74
Tc 0.0000 0.5000 0.7486 (multiplicity 2)  2 Zn 2.62, 2 Ta 2.67, 4 Tc 2.72

---

Entry from Alexandria via LeMat-Bulk: a relaxed TaZn2Tc crystal (GGA-PBEsol).

Computed properties:
Formation energy from the elements: 0.07 eV per atom

Cell lengths 5.2456, 8.3946, 2.6516 Å; angles 90.00, 90.00, 90.00 degrees
Last column: nearest neighbours and their distance in Å.
Space group Cmmm (No. 65)
Inequivalent atoms, fractional coordinates:
Ta 0.0000 0.0000 0.0000 (multiplicity 2)  2 Tc 2.62, 2 Ta 2.65, 8 Zn 2.81
Zn 0.2500 0.2500 0.5000 (multiplicity 4)  4 Zn 2.62-2.65, 4 Ta 2.81, 4 Tc 2.81
Tc 0.0000 0.5000 0.0000 (multiplicity 2)  2 Ta 2.62, 2 Tc 2.65, 8 Zn 2.81